[1]
A plane-wave DFT calculation with PBE-GGA was carried out for BeSiSN2 after structural relaxation.

Results
Its uncorrected formation energy is 408 meV/atom. For the polymorph energy (0 for the lowest one), the calculation gives 0 meV/atom.

Cell: 3.3358 3.3358 6.3831 Å, 90.00 90.00 90.00°
Fractional coordinates of all 5 atoms:
Be: 0.0000 0.0000 0.0000
Si: 0.5000 0.5000 0.5000
S: 0.5000 0.5000 0.0000
N: 0.0000 0.5000 0.5000
N: 0.5000 0.0000 0.5000



[2]
A plane-wave DFT calculation with PBE-GGA was carried out for LiHoErTc after structural relaxation.

Results
For the formation energy, the calculation gives -5 kJ/mol of atoms.

Cell: 6.9295 6.9295 6.9295 Å, 90.00 90.00 90.00°
Fractional coordinates of all 16 atoms:
Li: 0.0000 0.0000 0.0000
Li: 0.0000 0.5000 0.5000
Li: 0.5000 0.0000 0.5000
Li: 0.5000 0.5000 0.0000
Ho: 0.2500 0.2500 0.2500
Ho: 0.2500 0.7500 0.7500
Ho: 0.7500 0.2500 0.7500
Ho: 0.7500 0.7500 0.2500
Er: 0.2500 0.2500 0.7500
Er: 0.2500 0.7500 0.2500
Er: 0.7500 0.2500 0.2500
Er: 0.7500 0.7500 0.7500
Tc: 0.0000 0.0000 0.5000
Tc: 0.0000 0.5000 0.0000
Tc: 0.5000 0.0000 0.0000
Tc: 0.5000 0.5000 0.5000



[3]
A plane-wave DFT calculation with PBE-GGA was carried out for Ce2Ho4Pb3O2 after structural relaxation.

Results
Its uncorrected formation energy is -1350 meV/atom.

Cell: 13.2612 13.2612 13.2612 Å, 159.64 159.64 28.95°
Fractional coordinates of all 11 atoms:
Ce: 0.1948 0.1948 0.0000
Ce: 0.8052 0.8052 0.0000
Ho: 0.0825 0.5825 0.5000
Ho: 0.4175 0.9175 0.5000
Ho: 0.5825 0.0825 0.5000
Ho: 0.9175 0.4175 0.5000
Pb: 0.3257 0.3257 0.0000
Pb: 0.5000 0.5000 0.0000
Pb: 0.6743 0.6743 0.0000
O: 0.0949 0.0949 0.0000
O: 0.9051 0.9051 0.0000



[4]
A plane-wave DFT calculation with PBE-GGA was carried out for Tb2DyTm4 after structural relaxation.

Results
For the formation energy, the calculation gives 8 kJ/mol of atoms. For the polymorph energy (0 for the lowest one), the calculation gives 78 meV/atom.

Cell: 5.9667 8.3486 9.7544 Å, 84.97 72.22 69.11°
Fractional coordinates of all 14 atoms:
Tb: 0.0000 0.0000 0.0000
Tb: 0.0098 0.9294 0.3601
Tb: 0.1983 0.4994 0.4996
Tb: 0.3055 0.0700 0.6401
Dy: 0.1831 0.5697 0.1399
Dy: 0.8989 0.4300 0.8603
Tm: 0.3745 0.6452 0.7779
Tm: 0.3996 0.1455 0.2775
Tm: 0.4442 0.2132 0.9223
Tm: 0.5760 0.7866 0.0772
Tm: 0.6194 0.7125 0.4222
Tm: 0.7583 0.2870 0.5771
Tm: 0.7899 0.3546 0.2228
Tm: 0.8296 0.8538 0.7230



[5]
A plane-wave DFT calculation with PBE-GGA was carried out for NaTi8O13 after structural relaxation.

Results
Its uncorrected formation energy is -2834 meV/atom.

Cell: 6.4988 6.4988 6.4988 Å, 73.42 73.42 73.42°
Fractional coordinates of all 22 atoms:
Na: 0.0000 0.0000 0.0000
Ti: 0.1837 0.6248 0.4501
Ti: 0.2293 0.2293 0.2293
Ti: 0.3752 0.5499 0.8163
Ti: 0.4501 0.1837 0.6248
Ti: 0.5499 0.8163 0.3752
Ti: 0.6248 0.4501 0.1837
Ti: 0.7707 0.7707 0.7707
Ti: 0.8163 0.3752 0.5499
O: 0.0774 0.6735 0.7676
O: 0.1433 0.2949 0.5480
O: 0.2324 0.9226 0.3265
O: 0.2949 0.5480 0.1433
O: 0.3265 0.2324 0.9226
O: 0.4520 0.8567 0.7051
O: 0.5000 0.5000 0.5000
O: 0.5480 0.1433 0.2949
O: 0.6735 0.7676 0.0774
O: 0.7051 0.4520 0.8567
O: 0.7676 0.0774 0.6735
O: 0.8567 0.7051 0.4520
O: 0.9226 0.3265 0.2324



[6]
A plane-wave DFT calculation with PBE-GGA was carried out for W2BrCl after structural relaxation.

Results
Its uncorrected formation energy is 975 meV/atom. For the polymorph energy (0 for the lowest one), the calculation gives 1045 meV/atom.

Cell: 4.2364 4.2364 16.6945 Å, 90.00 90.00 90.00°
Fractional coordinates of all 16 atoms:
W: 0.1867 0.2500 0.1250
W: 0.2500 0.6867 0.3750
W: 0.2500 0.8133 0.8750
W: 0.3133 0.2500 0.6250
W: 0.6867 0.7500 0.6250
W: 0.7500 0.1867 0.8750
W: 0.7500 0.3133 0.3750
W: 0.8133 0.7500 0.1250
Br: 0.0000 0.0000 0.5000
Br: 0.0000 0.5000 0.7500
Br: 0.5000 0.0000 0.2500
Br: 0.5000 0.5000 0.0000
Cl: 0.0000 0.0000 0.0000
Cl: 0.0000 0.5000 0.2500
Cl: 0.5000 0.0000 0.7500
Cl: 0.5000 0.5000 0.5000



[7]
A plane-wave DFT calculation with PBE-GGA was carried out for CaGa2Cu after structural relaxation.

Results
For the formation energy, the calculation gives -21 kJ/mol of atoms.

Cell: 5.3940 7.1711 4.2949 Å, 90.00 90.00 90.00°
Fractional coordinates of all 8 atoms:
Ca: 0.0000 0.0000 0.0000
Ca: 0.5000 0.5000 0.0000
Ga: 0.0000 0.3192 0.5000
Ga: 0.0000 0.6808 0.5000
Ga: 0.5000 0.1808 0.5000
Ga: 0.5000 0.8192 0.5000
Cu: 0.0000 0.5000 0.0000
Cu: 0.5000 0.0000 0.0000



[8]
A plane-wave DFT calculation with PBE-GGA was carried out for AsP2Ir after structural relaxation.

Results
For the formation energy, the calculation gives 41 kJ/mol of atoms.

Cell: 2.8913 4.9757 9.2822 Å, 90.00 90.00 90.00°
Fractional coordinates of all 8 atoms:
As: 0.0000 0.0000 0.0000
As: 0.5000 0.5000 0.0000
P: 0.0000 0.0000 0.4500
P: 0.0000 0.5000 0.6443
P: 0.5000 0.0000 0.6443
P: 0.5000 0.5000 0.4500
Ir: 0.0000 0.5000 0.2282
Ir: 0.5000 0.0000 0.2282



[9]
A plane-wave DFT calculation with PBE-GGA was carried out for TlPSeN2 after structural relaxation.

Results
Its uncorrected formation energy is 2114 meV/atom. For the polymorph energy (0 for the lowest one), the calculation gives 1110 meV/atom.

Cell: 4.2685 4.2685 6.0187 Å, 90.00 90.00 90.00°
Fractional coordinates of all 5 atoms:
Tl: 0.0000 0.0000 0.0000
P: 0.5000 0.5000 0.5000
Se: 0.0000 0.0000 0.5000
N: 0.0000 0.5000 0.0000
N: 0.5000 0.0000 0.0000



[10]
A plane-wave DFT calculation with PBE-GGA was carried out for K3SmTa2O9 after structural relaxation.

Results
Its uncorrected formation energy is -2425 meV/atom.

Cell: 5.9673 5.9673 7.3751 Å, 90.00 90.00 120.00°
Fractional coordinates of all 15 atoms:
K: 0.0000 0.0000 0.0000
K: 0.3333 0.6667 0.6716
K: 0.6667 0.3333 0.3284
Sm: 0.0000 0.0000 0.5000
Ta: 0.3333 0.6667 0.1621
Ta: 0.6667 0.3333 0.8379
O: 0.0000 0.5000 0.0000
O: 0.1781 0.3562 0.3095
O: 0.1781 0.8219 0.3095
O: 0.3562 0.1781 0.6905
O: 0.5000 0.0000 0.0000
O: 0.5000 0.5000 0.0000
O: 0.6438 0.8219 0.3095
O: 0.8219 0.1781 0.6905
O: 0.8219 0.6438 0.6905



[11]
A plane-wave DFT calculation with PBE-GGA was carried out for Nd2Dy3Hg3 after structural relaxation.

Results
For the formation energy, the calculation gives -33 kJ/mol of atoms.

Cell: 3.7774 5.3186 22.4571 Å, 90.00 90.00 90.00°
Fractional coordinates of all 16 atoms:
Nd: 0.0000 0.0000 0.2305
Nd: 0.0000 0.0000 0.7695
Nd: 0.5000 0.5000 0.2695
Nd: 0.5000 0.5000 0.7305
Dy: 0.0000 0.0000 0.0000
Dy: 0.0000 0.5000 0.1182
Dy: 0.0000 0.5000 0.8818
Dy: 0.5000 0.0000 0.3818
Dy: 0.5000 0.0000 0.6182
Dy: 0.5000 0.5000 0.5000
Hg: 0.0000 0.0000 0.5000
Hg: 0.0000 0.5000 0.3864
Hg: 0.0000 0.5000 0.6136
Hg: 0.5000 0.0000 0.1136
Hg: 0.5000 0.0000 0.8864
Hg: 0.5000 0.5000 0.0000



[12]
A plane-wave DFT calculation with PBE-GGA was carried out for LaCd2Pt after structural relaxation.

Results
For the formation energy, the calculation gives -50 kJ/mol of atoms.

Cell: 4.4383 5.1583 4.4948 Å, 90.00 102.62 90.00°
Fractional coordinates of all 4 atoms:
La: 0.0000 0.0000 0.0000
Cd: 0.3044 0.5000 0.6981
Cd: 0.6956 0.5000 0.3019
Pt: 0.5000 0.0000 0.5000



Values of Fermi-level density of states, in order: 0.9, 3.7, 16.1, 11.3, 7.5, 2.6, 0.9, 1.4, 3.4, 7.3, 7.7, 2.5, all in states/eV/f.u..